1.
LaIrO3 | PBE | optimized geometry

Cell lengths 3.9537, 3.9537, 4.1939 Å; angles 90.00, 90.00, 90.00 degrees
Positions (direct):
Ir 0.5000 0.5000 0.5544
La 0.0000 0.0000 0.0091
O 0.5000 0.5000 0.0610
O 0.5000 0.0000 0.6377
O 0.0000 0.5000 0.6377

Output
space-group type: P4mm (99)

***

2.
Nd2DyMg3Hg2Au | PBE | optimized geometry

Cell lengths 4.2541, 7.8327, 7.8327 Å; angles 119.91, 90.00, 90.00 degrees
Positions (direct):
Au 0.5000 0.0049 0.0049
Dy 0.5000 0.4031 0.4031
Hg 0.0000 0.6598 0.3355
Hg 0.0000 0.3355 0.6598
Mg 0.0000 0.2399 0.0026
Mg 0.0000 0.0026 0.2399
Mg 0.0000 0.7602 0.7602
Nd 0.5000 0.9998 0.5943
Nd 0.5000 0.5943 0.9998

Output
space-group type: Amm2 (38)

***

3.
ZnNiHgOs | PBE | optimized geometry

Cell lengths 4.4110, 4.4110, 4.4110 Å; angles 60.00, 60.00, 60.00 degrees
Positions (direct):
Hg 0.2500 0.2500 0.2500
Ni 0.7500 0.7500 0.7500
Os 0.5000 0.5000 0.5000
Zn 0.0000 0.0000 0.0000

Output
formation enthalpy at 0 K: 0.643 eV per atom
space-group type: F-43m (216)

***

4.
HfTlCoAg | PBE | optimized geometry

Cell lengths 4.6571, 4.6571, 4.6571 Å; angles 60.00, 60.00, 60.00 degrees
Positions (direct):
Ag 0.5000 0.5000 0.5000
Co 0.7500 0.7500 0.7500
Hf 0.2500 0.2500 0.2500
Tl 0.0000 0.0000 0.0000

Output
distance to the lowest polymorph of the same formula: 143 meV/atom
space-group type: F-43m (216)

***

5.
HoTm4Cu5 | PBE | optimized geometry

Cell lengths 3.4117, 3.4117, 17.0900 Å; angles 90.00, 90.00, 90.00 degrees
Positions (direct):
Cu 0.5000 0.5000 0.1023
Cu 0.5000 0.5000 0.3006
Cu 0.5000 0.5000 0.5000
Cu 0.5000 0.5000 0.6994
Cu 0.5000 0.5000 0.8977
Ho 0.0000 0.0000 0.0000
Tm 0.0000 0.0000 0.2011
Tm 0.0000 0.0000 0.4003
Tm 0.0000 0.0000 0.5997
Tm 0.0000 0.0000 0.7989

Output
formation enthalpy at 0 K: -0.285 eV per atom
space-group type: P4/mmm (123)

***

6.
Ni2Sb3As | PBE | optimized geometry

Cell lengths 4.9864, 3.8559, 6.2679 Å; angles 90.00, 91.60, 90.00 degrees
Positions (direct):
As 0.7832 0.0000 0.6392
Ni 0.5217 0.5000 0.5085
Ni 0.9912 0.0000 0.9901
Sb 0.7187 0.5000 0.1437
Sb 0.2143 0.0000 0.3691
Sb 0.2708 0.5000 0.8494

Output
distance to the lowest polymorph of the same formula: 2 meV/atom
space-group type: Pm (6)

***

7.
LiMg2Cd | PBE | optimized geometry

Cell lengths 4.4791, 4.4791, 4.0536 Å; angles 90.00, 90.00, 90.00 degrees
Positions (direct):
Cd 0.5000 0.5000 0.0000
Li 0.0000 0.0000 0.0000
Mg 0.5000 0.0000 0.5000
Mg 0.0000 0.5000 0.5000

Output
space-group type: P4/mmm (123)

***

8.
KSiAu3 | PBE | optimized geometry

Cell lengths 4.7288, 4.9504, 4.9504 Å; angles 88.83, 90.00, 90.00 degrees
Positions (direct):
Au 0.5000 0.7004 0.2838
Au 0.0000 0.6802 0.6802
Au 0.5000 0.2838 0.7004
K 0.0000 0.1919 0.1919
Si 0.5000 0.8019 0.8019

Output
space-group type: Amm2 (38)

***

9.
Sc2PtO4 | PBE | optimized geometry

Cell lengths 6.3382, 6.3382, 6.3382 Å; angles 119.99, 90.02, 119.99 degrees
Positions (direct):
O 0.6096 0.2193 0.3903
O 0.1710 0.7807 0.3903
O 0.6097 0.7807 0.3904
O 0.1403 0.2807 0.4210
O 0.6097 0.2193 0.8290
O 0.1403 0.7193 0.8596
O 0.1404 0.2807 0.8597
O 0.5790 0.7193 0.8597
Pt 0.0000 0.0000 0.0000
Pt 0.7500 0.5000 0.2500
Sc 0.3750 0.7500 0.1250
Sc 0.8750 0.2500 0.6250
Sc 0.3750 0.7500 0.6250
Sc 0.3750 0.2500 0.6250

Output
space-group type: Fd-3m (227)

***

10.
Sc2Si3Pt9 | PBE | optimized geometry

Cell lengths 7.5868, 7.5868, 9.8411 Å; angles 112.66, 112.66, 60.18 degrees
Positions (direct):
Pt 0.5183 0.3629 0.0744
Pt 0.2085 0.0262 0.0776
Pt 0.8595 0.6869 0.0779
Pt 0.9143 0.3083 0.2444
Pt 0.1426 0.8574 0.2500
Pt 0.6917 0.0857 0.2556
Pt 0.3131 0.1405 0.4221
Pt 0.9738 0.7915 0.4224
Pt 0.6371 0.4817 0.4256
Pt 0.3629 0.5183 0.5744
Pt 0.0261 0.2085 0.5776
Pt 0.6869 0.8595 0.5779
Pt 0.3083 0.9143 0.7444
Pt 0.8574 0.1426 0.7500
Pt 0.0857 0.6917 0.7556
Pt 0.1405 0.3131 0.9221
Pt 0.7915 0.9739 0.9224
Pt 0.4817 0.6371 0.9256
Sc 0.2467 0.4172 0.2488
Sc 0.5828 0.7533 0.2512
Sc 0.4172 0.2467 0.7488
Sc 0.7533 0.5828 0.7512
Si 0.5000 0.0000 0.0000
Si 0.1802 0.6422 0.0025
Si 0.3578 0.8198 0.4975
Si 0.0000 0.5000 0.5000
Si 0.6422 0.1802 0.5025
Si 0.8198 0.3578 0.9975

Output
space-group type: C2/c (15)

***

11.
TbGd2As2N6 | PBE | optimized geometry

Cell lengths 9.8456, 9.8456, 9.8456 Å; angles 157.44, 157.44, 32.11 degrees
Positions (direct):
As 0.3968 0.3968 0.0000
As 0.6032 0.6032 0.0000
Gd 0.1795 0.1795 0.0000
Gd 0.8205 0.8205 0.0000
N 0.3003 0.3003 0.0000
N 0.6997 0.6997 0.0000
N 0.5833 0.0833 0.5000
N 0.9167 0.4167 0.5000
N 0.0833 0.5833 0.5000
N 0.4167 0.9167 0.5000
Tb 0.0000 0.0000 0.0000

Output
space-group type: I4/mmm (139)

***

12.
Pr2Re2O5 | PBE | optimized geometry

Cell lengths 6.8596, 4.0516, 4.0516 Å; angles 90.00, 90.00, 90.00 degrees
Positions (direct):
O 0.2381 0.5000 0.0000
O 0.7619 0.5000 0.0000
O 0.2381 0.0000 0.5000
O 0.7619 0.0000 0.5000
O 0.5000 0.5000 0.5000
Pr 0.0000 0.0000 0.0000
Pr 0.5000 0.0000 0.0000
Re 0.1749 0.5000 0.5000
Re 0.8251 0.5000 0.5000

Output
distance to the lowest polymorph of the same formula: 0 meV/atom
space-group type: P4/mmm (123)

***

no.,VASP energy (hartree per atom)
1,-0.2745
2,-0.1103
3,-0.1450
4,-0.1930
5,-0.1614
6,-0.1797
7,-0.0590
8,-0.1309
9,-0.2836
10,-0.2527
11,-0.2656
12,-0.3104